Below is a relaxed structure of TbNd2YBi5, with properties calculated at the PBE level.

abc: 5.455 5.455 11.928
angles: 90.00 90.00 90.00
Sites, in units of the cell vectors:
Tb: 0.000 0.000 0.500
Nd: 0.500 0.500 0.275
Nd: 0.500 0.500 0.725
Y: 0.000 0.000 0.000
Bi: 0.000 0.500 0.500
Bi: 0.500 0.000 0.500
Bi: 0.000 0.000 0.754
Bi: 0.000 0.000 0.246
Bi: 0.500 0.500 0.000

Computed properties:
D(E_F): 6.0 states/eV/f.u.
VASP energy: -4.565 eV per atom
E_form: -0.117 eV/atom
space-group type: P4/mmm